Crystalline InBiO at its relaxed geometry. Source: Alexandria, functional GGA-PBE.

Summary:
**Uncorrected formation energy**: -0.775 eV/atom

Cell lengths 6.3594, 7.9061, 6.5922 Å; angles 97.62, 90.00, 90.00 degrees
Last column: nearest neighbours and their distance in Å.
Sites, in units of the cell vectors:
O 0.3233 0.9740 0.6251  3 In 2.12-2.16
O 0.6767 0.0260 0.3749  3 In 2.12-2.16
O 0.1767 0.9740 0.1251  3 In 2.12-2.16
O 0.8233 0.0260 0.8749  3 In 2.12-2.16
Bi 0.4493 0.5009 0.2278  1 In 2.92, 3 Bi 3.07-3.19
Bi 0.5507 0.4991 0.7722  1 In 2.92, 3 Bi 3.07-3.19
Bi 0.9493 0.4991 0.2722  1 In 2.92, 3 Bi 3.07-3.19
Bi 0.0507 0.5009 0.7278  1 In 2.92, 3 Bi 3.07-3.19
In 0.1002 0.8710 0.8142  3 O 2.12-2.16
In 0.3998 0.8710 0.3142  3 O 2.12-2.16
In 0.8998 0.1290 0.1858  3 O 2.12-2.16
In 0.6002 0.1290 0.6858  3 O 2.12-2.16

=====

Crystalline In3BiO6 at its relaxed geometry. Source: Alexandria, functional GGA-PBE.

Summary:
**Uncorrected formation energy**: -1.343 eV/atom

Cell lengths 3.4931, 6.6932, 6.6932 Å; angles 110.39, 90.00, 90.00 degrees
Last column: nearest neighbours and their distance in Å.
Sites, in units of the cell vectors:
In 0.5000 0.5000 0.0000  6 O 2.18-2.24
In 0.0000 0.0000 0.0000  4 O 2.09
In 0.5000 0.0000 0.5000  6 O 2.18-2.24
Bi 0.0000 0.5000 0.5000  8 O 2.43-2.67
O 0.0000 0.0759 0.3298  3 In 2.09-2.24
O 0.0000 0.9241 0.6702  3 In 2.09-2.24
O 0.0000 0.3298 0.0759  3 In 2.09-2.24
O 0.0000 0.6702 0.9241  3 In 2.09-2.24
O 0.5000 0.6537 0.3463  2 In 2.18, 2 Bi 2.43
O 0.5000 0.3463 0.6537  2 In 2.18, 2 Bi 2.43

=====

Crystalline InBiO2 at its relaxed geometry. Source: Alexandria, functional GGA-PBE.

Summary:
**Uncorrected formation energy**: -1.005 eV/atom

Cell lengths 5.9874, 3.9229, 12.9343 Å; angles 90.00, 90.00, 90.00 degrees
Last column: nearest neighbours and their distance in Å.
Sites, in units of the cell vectors:
Bi 0.9562 0.2500 0.6265  5 O 2.28-2.50
Bi 0.5438 0.7500 0.1265  5 O 2.28-2.50
Bi 0.0438 0.7500 0.3735  5 O 2.28-2.50
Bi 0.4562 0.2500 0.8735  5 O 2.28-2.50
O 0.8990 0.2500 0.4353  1 In 2.21, 2 Bi 2.29
O 0.6010 0.7500 0.9353  1 In 2.21, 2 Bi 2.29
O 0.1010 0.7500 0.5647  1 In 2.21, 2 Bi 2.29
O 0.3990 0.2500 0.0647  1 In 2.21, 2 Bi 2.29
O 0.3087 0.2500 0.6924  2 Bi 2.28-2.50, 2 In 2.38
O 0.1913 0.7500 0.1924  2 Bi 2.28-2.50, 2 In 2.38
O 0.6913 0.7500 0.3076  2 Bi 2.28-2.50, 2 In 2.38
O 0.8087 0.2500 0.8076  2 Bi 2.28-2.50, 2 In 2.38
In 0.5442 0.2500 0.3870  3 O 2.21-2.38
In 0.9558 0.7500 0.8870  3 O 2.21-2.38
In 0.4558 0.7500 0.6130  3 O 2.21-2.38
In 0.0442 0.2500 0.1130  3 O 2.21-2.38

=====

Crystalline In3BiO at its relaxed geometry. Source: Alexandria, functional GGA-PBE.

Summary:
**Uncorrected formation energy**: 0.846 eV/atom

Cell lengths 5.9108, 5.9108, 5.9108 Å; angles 90.00, 90.00, 90.00 degrees
Last column: nearest neighbours and their distance in Å.
Sites, in units of the cell vectors:
Bi 0.0000 0.0000 0.0000  6 In 2.96
O 0.5000 0.5000 0.5000  12 In 4.18
In 0.0000 0.5000 0.0000  2 Bi 2.96
In 0.0000 0.0000 0.5000  2 Bi 2.96
In 0.5000 0.0000 0.0000  2 Bi 2.96

=====

Crystalline InBiO2 at its relaxed geometry. Source: Alexandria, functional GGA-PBE.

Summary:
**Uncorrected formation energy**: -0.875 eV/atom

Cell lengths 7.6707, 5.0878, 5.0878 Å; angles 94.86, 119.63, 60.37 degrees
Last column: nearest neighbours and their distance in Å.
Sites, in units of the cell vectors:
Bi 0.7500 0.8062 0.3062  2 O 2.32
Bi 0.2500 0.1938 0.6938  2 O 2.32
O 0.1258 0.1312 0.0046  2 In 2.16-2.21, 1 Bi 2.32
O 0.3742 0.5046 0.6312  2 In 2.16-2.21, 1 Bi 2.32
O 0.8742 0.8688 0.9954  2 In 2.16-2.21, 1 Bi 2.32
O 0.6258 0.4954 0.3688  2 In 2.16-2.21, 1 Bi 2.32
In 0.7500 0.3450 0.8450  4 O 2.16-2.21
In 0.2500 0.6550 0.1550  4 O 2.16-2.21

=====

Crystalline InBiO2 at its relaxed geometry. Source: Alexandria, functional GGA-PBE.

Summary:
**Uncorrected formation energy**: -0.571 eV/atom

Cell lengths 6.7001, 6.7001, 5.7692 Å; angles 54.50, 54.50, 90.00 degrees
Last column: nearest neighbours and their distance in Å.
Sites, in units of the cell vectors:
Bi 0.7500 0.2500 0.5000  4 O 2.34
Bi 0.2500 0.7500 0.5000  4 O 2.34
O 0.8252 0.3252 0.0000  2 Bi 2.34
O 0.1748 0.6748 0.0000  2 Bi 2.34
O 0.3252 0.1748 0.0000  2 Bi 2.34
O 0.6748 0.8252 0.0000  2 Bi 2.34
In 0.7500 0.7500 0.5000  8 O 2.97, 2 In 3.29
In 0.2500 0.2500 0.5000  8 O 2.97, 2 In 3.29

=====

Crystalline InBiO2 at its relaxed geometry. Source: Alexandria, functional GGA-PBE.

Summary:
**Uncorrected formation energy**: -0.989 eV/atom

Cell lengths 5.5774, 11.2116, 5.2396 Å; angles 90.00, 90.00, 90.00 degrees
Last column: nearest neighbours and their distance in Å.
Sites, in units of the cell vectors:
Bi 0.1079 0.8719 0.0011  3 O 2.13-2.24
Bi 0.8921 0.1281 0.5011  3 O 2.13-2.24
Bi 0.3921 0.3719 0.5011  3 O 2.13-2.24
Bi 0.6079 0.6281 0.0011  3 O 2.13-2.24
O 0.4522 0.8039 0.1192  2 Bi 2.16-2.24, 1 In 2.27
O 0.5478 0.1961 0.6192  2 Bi 2.16-2.24, 1 In 2.27
O 0.0478 0.3039 0.6192  2 Bi 2.16-2.24, 1 In 2.27
O 0.9522 0.6961 0.1192  2 Bi 2.16-2.24, 1 In 2.27
O 0.1875 0.8224 0.6182  1 Bi 2.13, 2 In 2.25-2.30
O 0.8125 0.1776 0.1182  1 Bi 2.13, 2 In 2.25-2.30
O 0.3125 0.3224 0.1182  1 Bi 2.13, 2 In 2.25-2.30
O 0.6875 0.6776 0.6182  1 Bi 2.13, 2 In 2.25-2.30
In 0.9330 0.3677 0.0113  3 O 2.25-2.30
In 0.0670 0.6323 0.5113  3 O 2.25-2.30
In 0.5670 0.8677 0.5113  3 O 2.25-2.30
In 0.4330 0.1323 0.0113  3 O 2.25-2.30

=====

Crystalline InBiO2 at its relaxed geometry. Source: Alexandria, functional GGA-PBE.

Summary:
**Uncorrected formation energy**: -1.203 eV/atom

Cell lengths 7.2057, 7.2057, 7.2057 Å; angles 26.96, 26.96, 26.96 degrees
Last column: nearest neighbours and their distance in Å.
Sites, in units of the cell vectors:
Bi 0.0000 0.0000 0.0000  2 O 2.38
O 0.8858 0.8858 0.8858  3 In 2.23, 1 Bi 2.38
O 0.1142 0.1142 0.1142  3 In 2.23, 1 Bi 2.38
In 0.5000 0.5000 0.5000  6 O 2.23

=====

What is the formula in the fourth record?
In3BiO

=====

Among the records above, which one has the highest uncorrected formation energy?
In3BiO

=====

Please write out number 8 again, unchanged.
Crystalline InBiO2 at its relaxed geometry. Source: Alexandria, functional GGA-PBE.

Summary:
**Uncorrected formation energy**: -1.203 eV/atom

Cell lengths 7.2057, 7.2057, 7.2057 Å; angles 26.96, 26.96, 26.96 degrees
Last column: nearest neighbours and their distance in Å.
Sites, in units of the cell vectors:
Bi 0.0000 0.0000 0.0000  2 O 2.38
O 0.8858 0.8858 0.8858  3 In 2.23, 1 Bi 2.38
O 0.1142 0.1142 0.1142  3 In 2.23, 1 Bi 2.38
In 0.5000 0.5000 0.5000  6 O 2.23

=====

Which of these has the lowest uncorrected formation energy?
In3BiO6